1.
# LiZr3As4

A relaxed LiZr3As4 crystal (PBE-GGA, Alexandria via LeMat-Bulk).

Properties
Raw total energy, eV per cell: -108.13
Formation energy from the elements, kJ/mol of formula units: -763.3
Calculated volume, A^3/atom: 20.4
Magnetization, μB per atom: 0.000

Cell lengths 6.6634, 6.7135, 7.7350 Å; angles 90.00, 90.00, 109.51 degrees
Sites, in units of the cell vectors:
Li1 0.7500 0.0000 0.8860
Li2 0.2500 0.0000 0.1140
As1 0.0049 0.7543 0.3694
As2 0.9985 0.7531 0.8751
As3 0.0015 0.2469 0.1249
As4 0.5049 0.7543 0.6306
As5 0.4985 0.7531 0.1249
As6 0.5015 0.2469 0.8751
As7 0.4951 0.2457 0.3694
As8 0.9951 0.2457 0.6306
Zr1 0.2500 0.0000 0.6260
Zr2 0.2500 0.5000 0.8786
Zr3 0.7500 0.0000 0.3740
Zr4 0.7500 0.5000 0.6242
Zr5 0.7500 0.5000 0.1214
Zr6 0.2500 0.5000 0.3758

2.
# LiZr2As

A relaxed LiZr2As crystal (PBE-GGA, Alexandria via LeMat-Bulk).

Properties
Raw total energy, eV per cell: -25.08
Formation energy from the elements, kJ/mol of formula units: -136.6
Energy above the lowest structure with this stoichiometry, meV per atom: 224
Calculated volume, A^3/atom: 18.7
Magnetization, μB per atom: 0.000

Cell lengths 5.5605, 5.5605, 5.5605 Å; angles 142.47, 133.65, 61.10 degrees
Sites, in units of the cell vectors:
As1 0.4839 0.4839 0.0000
Zr1 0.0017 0.0017 0.0000
Zr2 0.7325 0.2325 0.5000
Li1 0.2820 0.7820 0.5000

3.
# Li2ZrAs

A relaxed Li2ZrAs crystal (PBE-GGA, Alexandria via LeMat-Bulk).

Properties
Raw total energy, eV per cell: -17.28
Formation energy from the elements, kJ/mol of formula units: -24.1
Energy above the lowest structure with this stoichiometry, meV per atom: 433
Calculated volume, A^3/atom: 19.0
Magnetization, μB per atom: 0.040

Cell lengths 9.9102, 9.9102, 9.9102 Å; angles 17.42, 17.42, 17.42 degrees
Sites, in units of the cell vectors:
As1 0.7500 0.7500 0.7500
Zr1 0.2500 0.2500 0.2500
Li1 0.0142 0.0142 0.0142
Li2 0.4858 0.4858 0.4858